# 1
## Sr4In2O (PBE)

Data for Sr4In2O after structural relaxation.

a = 5.1687 Å, b = 5.1687 Å, c = 9.3984 Å
α = 74.04°, β = 74.04°, γ = 90.00°
Fractional coordinates of all 7 atoms:
Sr (0.1663, 0.1663, 0.6673)
Sr (0.8337, 0.8337, 0.3327)
Sr (0.0000, 0.5000, 0.0000)
Sr (0.5000, 0.0000, 0.0000)
O (0.0000, 0.0000, 0.0000)
In (0.3655, 0.3655, 0.2690)
In (0.6345, 0.6345, 0.7310)

Output
Space-group type: I4/mmm (139)
Formation energy without anion corrections (meV per atom): -913
Crystal system: tetragonal
DOS at the Fermi energy (states/eV/atom): 1.17
Raw total energy (hartree per atom): -0.124

# 2
## PmSnHgBi (PBE)

Data for PmSnHgBi after structural relaxation.

a = 4.6086 Å, b = 4.8666 Å, c = 4.9080 Å
α = 90.00°, β = 90.00°, γ = 90.00°
Fractional coordinates of all 4 atoms:
Pm (0.5000, 0.0000, 0.5000)
Sn (0.0000, 0.0000, 0.0000)
Hg (0.5000, 0.5000, 0.0000)
Bi (0.0000, 0.5000, 0.5000)

Output
Space-group type: Pmmm (47)
Crystal system: orthorhombic
E_form (eV per atom): -0.456
DOS at the Fermi energy (states/eV/atom): 0.33
Raw total energy (hartree per atom): -0.136

# 3
## KVTe3Rh (PBE)

Data for KVTe3Rh after structural relaxation.

a = 3.9440 Å, b = 9.1835 Å, c = 10.3472 Å
α = 115.44°, β = 90.00°, γ = 90.00°
Fractional coordinates of all 12 atoms:
K (0.7500, 0.7643, 0.7395)
K (0.2500, 0.2357, 0.2605)
V (0.2500, 0.0716, 0.5851)
V (0.7500, 0.9284, 0.4149)
Te (0.2500, 0.7471, 0.4478)
Te (0.7500, 0.8762, 0.1457)
Te (0.7500, 0.4665, 0.1236)
Te (0.7500, 0.2529, 0.5522)
Te (0.2500, 0.5335, 0.8764)
Te (0.2500, 0.1238, 0.8543)
Rh (0.2500, 0.6779, 0.1632)
Rh (0.7500, 0.3221, 0.8368)

Output
Space-group type: P2_1/m (11)
Formation energy without anion corrections (meV per atom): -482
Crystal system: monoclinic
DOS at the Fermi energy (states/eV/atom): 0.38
Raw total energy (hartree per atom): -0.183

# 4
## Hf5Hg2N (PBE)

Data for Hf5Hg2N after structural relaxation.

a = 6.2249 Å, b = 6.2249 Å, c = 6.1651 Å
α = 120.32°, β = 120.32°, γ = 90.00°
Fractional coordinates of all 8 atoms:
Hf (0.7578, 0.2470, 0.0048)
Hf (0.2468, 0.2468, 0.0046)
Hf (0.7579, 0.7579, 0.0048)
Hf (0.2470, 0.7578, 0.0048)
Hf (0.7447, 0.7447, 0.4895)
Hg (0.2536, 0.7535, 0.5071)
Hg (0.7535, 0.2535, 0.5071)
N (0.0156, 0.0156, 0.0312)

Output
Space-group type: I4mm (107)
Formation energy without anion corrections (meV per atom): -260
Crystal system: tetragonal
DOS at the Fermi energy (states/eV/atom): 0.85
Raw total energy (hartree per atom): -0.279

# 5
## YMo2 (PBE)

Data for YMo2 after structural relaxation.

a = 6.1141 Å, b = 6.1141 Å, c = 4.3143 Å
α = 90.00°, β = 90.00°, γ = 125.22°
Fractional coordinates of all 6 atoms:
Y (0.7463, 0.7463, 0.7500)
Y (0.2537, 0.2537, 0.2500)
Mo (0.1484, 0.5934, 0.7500)
Mo (0.5934, 0.1484, 0.7500)
Mo (0.4066, 0.8516, 0.2500)
Mo (0.8516, 0.4066, 0.2500)

Output
Space-group type: Cmcm (63)
Crystal system: orthorhombic
E_form (eV per atom): 0.344
DOS at the Fermi energy (states/eV/atom): 0.99
Raw total energy (hartree per atom): -0.332

# 6
## Sb2RuPb (PBE)

Data for Sb2RuPb after structural relaxation.

a = 4.1355 Å, b = 4.1355 Å, c = 7.2952 Å
α = 73.68°, β = 73.68°, γ = 59.81°
Fractional coordinates of all 4 atoms:
Pb (0.2500, 0.2500, 0.2500)
Ru (0.7500, 0.7500, 0.7500)
Sb (0.0236, 0.0236, 0.9292)
Sb (0.4764, 0.4764, 0.5708)

Output
Space-group type: C2/m (12)
Formation energy without anion corrections (meV per atom): 122
Crystal system: monoclinic
DOS at the Fermi energy (states/eV/atom): 0.61
Raw total energy (hartree per atom): -0.191

# 7
## AgPdBr2N (PBE)

Data for AgPdBr2N after structural relaxation.

a = 4.9252 Å, b = 4.1386 Å, c = 4.9252 Å
α = 90.00°, β = 90.00°, γ = 90.00°
Fractional coordinates of all 5 atoms:
Br (0.0000, 0.0000, 0.5000)
Br (0.5000, 0.0000, 0.0000)
Pd (0.5000, 0.5000, 0.5000)
Ag (0.0000, 0.5000, 0.0000)
N (0.0000, 0.0000, 0.0000)

Output
Space-group type: P4/mmm (123)
Formation energy without anion corrections (meV per atom): 1041
Crystal system: tetragonal
DOS at the Fermi energy (states/eV/atom): 1.39
Raw total energy (hartree per atom): -0.107

# 8
## NaPmDy2Tl4 (PBE)

Data for NaPmDy2Tl4 after structural relaxation.

a = 5.3484 Å, b = 5.3484 Å, c = 9.4418 Å
α = 73.55°, β = 73.55°, γ = 60.00°
Fractional coordinates of all 8 atoms:
Na (0.5000, 0.5000, 0.5000)
Pm (0.0000, 0.0000, 0.0000)
Dy (0.7540, 0.7540, 0.7380)
Dy (0.2460, 0.2460, 0.2620)
Tl (0.3766, 0.3766, 0.8703)
Tl (0.8739, 0.8739, 0.3783)
Tl (0.1261, 0.1261, 0.6217)
Tl (0.6234, 0.6234, 0.1297)

Output
Space-group type: R-3m (166)
Crystal system: trigonal
E_form (eV per atom): -0.297
DOS at the Fermi energy (states/eV/atom): 0.59
Raw total energy (hartree per atom): -0.125

# 9
## Si3AsAu (PBE)

Data for Si3AsAu after structural relaxation.

a = 4.8316 Å, b = 4.8316 Å, c = 4.8316 Å
α = 90.00°, β = 90.00°, γ = 90.00°
Fractional coordinates of all 5 atoms:
As (0.5000, 0.5000, 0.5000)
Au (0.0000, 0.0000, 0.0000)
Si (0.0000, 0.5000, 0.0000)
Si (0.0000, 0.0000, 0.5000)
Si (0.5000, 0.0000, 0.0000)

Output
Space-group type: Pm-3m (221)
Formation energy without anion corrections (meV per atom): 973
Crystal system: cubic
DOS at the Fermi energy (states/eV/atom): 0.58
Raw total energy (hartree per atom): -0.142

# 10
## Pa2PbS6 (PBE)

Data for Pa2PbS6 after structural relaxation.

a = 5.2118 Å, b = 7.2067 Å, c = 8.4319 Å
α = 71.80°, β = 72.00°, γ = 68.80°
Fractional coordinates of all 9 atoms:
Pa (0.1783, 0.7490, 0.8944)
Pa (0.8217, 0.2510, 0.1056)
Pb (0.0000, 0.5000, 0.5000)
S (0.7035, 0.6573, 0.9358)
S (0.2965, 0.3427, 0.0642)
S (0.9773, 0.8496, 0.1958)
S (0.3510, 0.7023, 0.5958)
S (0.0227, 0.1504, 0.8042)
S (0.6490, 0.2977, 0.4042)

Output
Space-group type: C2/m (12)
Formation energy without anion corrections (meV per atom): -1230
Crystal system: monoclinic
Raw total energy (hartree per atom): -0.239

# 11
## La2BiP (PBE)

Data for La2BiP after structural relaxation.

a = 8.0779 Å, b = 8.0779 Å, c = 7.0501 Å
α = 55.05°, β = 55.05°, γ = 90.00°
Fractional coordinates of all 8 atoms:
P (0.5000, 0.5000, 0.0000)
P (0.2500, 0.7500, 0.5000)
Bi (0.0000, 0.0000, 0.0000)
Bi (0.7500, 0.2500, 0.5000)
La (0.5851, 0.1250, 0.2500)
La (0.1649, 0.6250, 0.2500)
La (0.3750, 0.4149, 0.7500)
La (0.8750, 0.8351, 0.7500)

Output
Space-group type: I-42d (122)
Crystal system: tetragonal
E_form (eV per atom): -0.994
DOS at the Fermi energy (states/eV/atom): 0.02
Raw total energy (hartree per atom): -0.212

# 12
## Ca4Zn2Si5 (PBE)

Data for Ca4Zn2Si5 after structural relaxation.

a = 4.4441 Å, b = 6.9589 Å, c = 7.8136 Å
α = 93.54°, β = 90.00°, γ = 90.00°
Fractional coordinates of all 11 atoms:
Ca (0.5000, 0.2730, 0.6419)
Ca (0.5000, 0.7659, 0.8666)
Ca (0.5000, 0.7270, 0.3581)
Ca (0.5000, 0.2341, 0.1334)
Zn (0.0000, 0.9221, 0.6315)
Zn (0.0000, 0.0779, 0.3685)
Si (0.0000, 0.4220, 0.3581)
Si (0.0000, 0.8822, 0.1046)
Si (0.0000, 0.5000, 0.0000)
Si (0.0000, 0.1178, 0.8954)
Si (0.0000, 0.5780, 0.6419)

Output
Space-group type: P2/m (10)
Formation energy without anion corrections (meV per atom): -311
Crystal system: monoclinic
DOS at the Fermi energy (states/eV/atom): 0.48
Raw total energy (hartree per atom): -0.137